VASP calculation (PBE-GGA) on a relaxed LiMgCl crystal.

Unit cell a=3.536 b=3.539 c=11.924 alpha=90.14 beta=98.36 gamma=119.94
Space group P1 (No. 1)
Unique sites:
Li (0.000, 0.000, 0.000) (multiplicity 1)
Li (0.497, 0.248, 0.741) (multiplicity 1)
Mg (0.679, 0.833, 0.516) (multiplicity 1)
Mg (0.883, 0.431, 0.319) (multiplicity 1)
Cl (0.238, 0.620, 0.852) (multiplicity 1)
Cl (0.739, 0.370, 0.108) (multiplicity 1)

Computed properties:
The volume is 21.2 Å³ per atom. For the total energy, the calculation gives -2.813 eV per atom. The density of states at the Fermi level comes out at 1.4 states/eV per cell. The distance to the lowest polymorph of the same formula comes out at 0.0046 eV/atom. The formation energy from raw total energies is -3.1 eV/f.u. The value obtained for the total magnetization is 0.00 μB per atom.